Run a
Compound: SrMnNi
Source: Alexandria
Functional: GGA-PBE
Structure: relaxed

abc: 4.081 4.081 4.768
angles: 90.00 90.00 120.00
Site moments in Bohr magnetons follow the coordinates.
Positions (direct):
Sr 0.333 0.667 0.667  -0.06
Mn 0.000 0.000 0.167  3.36
Ni 0.667 0.333 0.167  0.27

Results
Space-group type = P-6m2 (187)

=====

Run b
Compound: SrMnNi
Source: Alexandria
Functional: GGA-PBE
Structure: relaxed

abc: 5.997 5.997 3.406
angles: 73.51 73.49 32.99
Site moments in Bohr magnetons follow the coordinates.
Positions (direct):
Ni 0.381 0.381 0.619  0.53
Sr 0.671 0.671 0.329  -0.06
Mn 0.949 0.949 0.051  3.69

Results
Space-group type = I4mm (107)

=====

Run c
Compound: SrMnNi
Source: Alexandria
Functional: GGA-PBE
Structure: relaxed

abc: 4.667 4.667 4.667
angles: 60.00 60.00 60.00
Site moments in Bohr magnetons follow the coordinates.
Positions (direct):
Mn 0.500 0.500 0.500  4.01
Sr 0.000 0.000 0.000  -0.03
Ni 0.750 0.750 0.750  0.40

Results
Space-group type = F-43m (216)

=====

Q: Which of them is the least stable? A: run c.

=====

Run a
Compound: SrMnNi3
Source: Alexandria
Functional: GGA-PBE
Structure: relaxed

abc: 4.725 4.725 4.725
angles: 90.00 90.00 90.00
Site moments in Bohr magnetons follow the coordinates.
Positions (direct):
Mn 0.500 0.500 0.500  -4.34
Ni 0.000 0.500 0.000  -0.14
Ni 0.000 0.000 0.500  -0.13
Ni 0.500 0.000 0.000  -0.22
Sr 0.000 0.000 0.000  0.04

Results
Space-group type = Pm-3m (221)

=====

Run b
Compound: SrMnNi3
Source: Alexandria
Functional: GGA-PBE
Structure: relaxed

abc: 4.437 4.437 4.437
angles: 90.00 90.00 90.00
Positions (direct):
Mn 0.000 0.000 0.000
Sr 0.500 0.500 0.500
Ni 0.500 0.000 0.000
Ni 0.000 0.500 0.000
Ni 0.000 0.000 0.500

Results
Space-group type = Pm-3m (221)

=====

Q: Which of them is the least stable? A: run a.

=====

Run a
Compound: Ta3MnNi
Source: Alexandria
Functional: GGA-PBE
Structure: relaxed

abc: 4.538 4.538 4.538
angles: 90.00 90.00 90.00
Positions (direct):
Ta 0.000 0.500 0.000
Ta 0.500 0.000 0.000
Ta 0.000 0.000 0.500
Mn 0.500 0.500 0.500
Ni 0.000 0.000 0.000

Results
Space-group type = Pm-3m (221)

=====

Run b
Compound: Ta3MnNi
Source: Alexandria
Functional: GGA-PBE
Structure: relaxed

abc: 4.538 4.538 4.538
angles: 90.00 90.00 90.00
Positions (direct):
Ta 0.500 0.000 0.000
Ta 0.000 0.500 0.000
Ta 0.000 0.000 0.500
Mn 0.000 0.000 0.000
Ni 0.500 0.500 0.500

Results
Space-group type = Pm-3m (221)

=====

Q: Which of them is the least stable? A: run a.